First-principles (meta-GGA SCAN) data for a crystal of Mg2TlRu relaxed with PBEsol, as listed in Alexandria via LeMat-Bulk.

Geometry as CIF:
```
data_Mg2TlRu
_space_group_name_H-M_alt 'F -4 3 m'
_space_group_IT_number 216
_space_group_name_Hall 'F -4 2 3'
_cell_length_a 6.575
_cell_length_b 6.575
_cell_length_c 6.575
_cell_angle_alpha 90.00
_cell_angle_beta 90.00
_cell_angle_gamma 90.00
loop_
_atom_site_label
_atom_site_type_symbol
_atom_site_fract_x
_atom_site_fract_y
_atom_site_fract_z
_atom_site_occupancy
Mg1 Mg 0.000 0.000 0.000 1
Mg2 Mg 0.250 0.250 0.250 1
Tl1 Tl 0.000 0.000 0.500 1
Ru1 Ru 0.250 0.250 0.750 1
```

Summary:
E_form: 2.3 kcal/mol of atoms
ΔE to the lowest computed polymorph: 0.584 eV per formula unit
VASP energy: -29.1823 eV/atom